Material: NaPuVO6
Method: DFT, PBE with a Hubbard U
State: optimized geometry

Unit cell a=5.3250 b=5.3250 c=10.2460 alpha=90.00 beta=90.00 gamma=120.00
Last column: nearest neighbours and their distance in Å.
Fractional coordinates of all 18 atoms:
O1 0.6363 0.0103 0.3520  1 V 1.95, 1 Pu 2.02
Na1 0.0000 0.0000 0.5000  6 O 2.48
O2 0.3741 0.3637 0.3520  1 V 1.95, 1 Pu 2.02
O3 0.3637 0.3741 0.8520  1 V 1.95, 1 Pu 2.02
O4 0.0103 0.6363 0.8520  1 V 1.95, 1 Pu 2.02
O5 0.3637 0.9897 0.6480  1 V 1.95, 1 Pu 2.02
O6 0.6363 0.6259 0.1480  1 V 1.95, 1 Pu 2.02
Pu1 0.3333 0.6667 0.2500  6 O 2.02
O7 0.9897 0.6259 0.3520  1 V 1.95, 1 Pu 2.02
V1 0.6667 0.3333 0.2500  6 O 1.95
V2 0.3333 0.6667 0.7500  6 O 1.95
O8 0.6259 0.6363 0.6480  1 V 1.95, 1 Pu 2.02
Na2 0.0000 0.0000 0.0000  6 O 2.48
O9 0.9897 0.3637 0.1480  1 V 1.95, 1 Pu 2.02
O10 0.6259 0.9897 0.8520  1 V 1.95, 1 Pu 2.02
O11 0.0103 0.3741 0.6480  1 V 1.95, 1 Pu 2.02
Pu2 0.6667 0.3333 0.7500  6 O 2.02
O12 0.3741 0.0103 0.1480  1 V 1.95, 1 Pu 2.02

Results
VASP energy = -7.99 eV/atom
Total magnetization = 2.00 μB per formula unit